Crystalline K2NaAs2 at its relaxed geometry. Source: Alexandria via LeMat-Bulk, functional PBE.

Lattice parameters (Å, degrees): 6.6064 6.4529 8.9497 99.55 90.00 120.79
Site moments in Bohr magnetons follow the coordinates.
Positions (direct):
1 K 0.5024 0.2980 0.1443  0.01
2 K 0.2044 0.7020 0.3557  0.01
3 K 0.4976 0.7020 0.8557  0.01
4 K 0.7956 0.2980 0.6443  0.01
5 Na 0.9133 0.0000 0.2500  0.00
6 Na 0.0867 0.0000 0.7500  0.00
7 As 0.6816 0.6943 0.4956  0.17
8 As 0.9872 0.3057 0.0044  0.17
9 As 0.3184 0.3057 0.5044  0.17
10 As 0.0127 0.6943 0.9956  0.17

Calculated density   2.59 Mg/m³
ΔH_f (0 K)   -0.37 eV/atom
Symmetry   C2/c, No. 15